[1]
The following is a DFT calculation (PBE) of a relaxed Zn2Sn2Pd crystal.

Geometry as extended XYZ:
```
10
Lattice="7.1457 0.0000 0.0000 0.0000 7.1457 0.0000 0.0000 0.0000 4.1245" Properties=species:S:1:pos:R:3 pbc="T T T"
Zn 1.0178 4.5907 2.0622
Zn 4.5907 6.1279 2.0622
Zn 6.1279 2.5550 2.0622
Zn 2.5550 1.0178 2.0622
Sn 2.4218 5.9946 0.0000
Sn 5.9946 4.7239 0.0000
Sn 4.7239 1.1511 0.0000
Sn 1.1511 2.4218 0.0000
Pd 0.0000 0.0000 0.0000
Pd 3.5728 3.5728 0.0000
```

Computed properties:
Crystal system = tetragonal
VASP energy = -0.2297 Ry per atom
E_form = 0.0236 eV/atom



[2]
The following is a DFT calculation (PBE) of a relaxed LiCa2Ce crystal.

Geometry as extended XYZ:
```
4
Lattice="3.6425 0.0000 0.0000 0.0000 3.6425 0.0000 0.0000 0.0000 10.2360" Properties=species:S:1:pos:R:3 pbc="T T T"
Ca 0.0000 0.0000 7.9264
Ca 0.0000 0.0000 2.3097
Ce 1.8212 1.8212 5.1180
Li 1.8212 1.8212 0.0000
```

Computed properties:
Crystal system = tetragonal
VASP energy = -0.2047 Ry per atom
E_form = 0.1773 eV/atom



[3]
The following is a DFT calculation (PBE) of a relaxed TiAl6 crystal.

Geometry as extended XYZ:
```
7
Lattice="-2.2055 3.3098 -4.7881 2.1528 -5.4614 -2.0695 -4.5650 -0.9934 4.1133" Properties=species:S:1:pos:R:3 pbc="T T T"
Ti 0.0000 0.0000 0.0000
Al -1.2192 -3.7653 -0.6925
Al -0.6293 -2.6895 -2.9179
Al -2.8987 -2.6483 0.8532
Al -3.3984 0.6203 -2.0518
Al -3.9882 -0.4555 0.1735
Al -1.7189 -0.4967 -3.5975
```

Computed properties:
Crystal system = cubic
VASP energy = -0.2476 Ry per atom
E_form = 0.9669 eV/atom



[4]
The following is a DFT calculation (PBE) of a relaxed La2Ag crystal.

Geometry as extended XYZ:
```
3
Lattice="5.3948 0.0000 0.0000 0.0000 5.3948 0.0000 0.0000 0.0000 3.5481" Properties=species:S:1:pos:R:3 pbc="T T T"
Ag 0.0000 0.0000 0.0000
La 0.0000 2.6974 1.7741
La 2.6974 0.0000 1.7741
```

Computed properties:
Crystal system = tetragonal
VASP energy = -0.3065 Ry per atom
E_form = 0.0646 eV/atom



[5]
The following is a DFT calculation (PBE) of a relaxed Li2ReAu crystal.

Geometry as extended XYZ:
```
4
Lattice="4.4155 -0.0008 0.0000 0.0617 4.4151 0.0000 -2.2386 -2.2072 3.1006" Properties=species:S:1:pos:R:3 pbc="T T T"
Au 2.2078 -0.0004 1.5503
Li 0.0000 0.0000 0.0000
Li 0.0308 2.2075 1.5503
Re 2.2386 2.2072 0.0000
```

Computed properties:
Crystal system = tetragonal
VASP energy = -0.3274 Ry per atom
E_form = 0.4333 eV/atom



[6]
The following is a DFT calculation (PBE) of a relaxed SmEr2Zn2 crystal.

Geometry as extended XYZ:
```
10
Lattice="3.5670 0.0000 -0.4778 0.0000 5.1809 0.0000 -0.0325 0.0000 13.3101" Properties=species:S:1:pos:R:3 pbc="T T T"
Sm 3.0279 3.8857 9.0810
Sm 0.5066 1.2952 3.7513
Er 0.1626 3.8857 1.2139
Er 3.3720 1.2952 11.6183
Er 0.8140 3.8857 6.0837
Er 2.7205 1.2952 6.7485
Zn 2.2747 3.8857 3.4250
Zn 1.2598 1.2952 9.4072
Zn 1.5894 3.8857 11.8500
Zn 1.9451 1.2952 0.9823
```

Computed properties:
Crystal system = monoclinic
VASP energy = -0.2602 Ry per atom
E_form = -0.2621 eV/atom



[7]
The following is a DFT calculation (PBE) of a relaxed AsP2Au crystal.

Geometry as extended XYZ:
```
4
Lattice="-1.9039 -2.6567 2.0914 2.7860 -2.2060 -0.2660 2.1032 2.1382 4.2955" Properties=species:S:1:pos:R:3 pbc="T T T"
As -0.3439 -3.5369 1.8606
P 0.8650 -2.2779 4.0809
P -0.5680 -0.8213 0.8620
Au 0.3766 0.1016 3.1020
```

Computed properties:
Crystal system = monoclinic
VASP energy = -0.3347 Ry per atom
E_form = 0.1327 eV/atom



[8]
The following is a DFT calculation (PBE) of a relaxed LiMgAg2 crystal.

Geometry as extended XYZ:
```
4
Lattice="4.4170 0.0000 0.0000 0.0000 4.4152 0.0000 0.0000 0.0000 3.5779" Properties=species:S:1:pos:R:3 pbc="T T T"
Mg 0.0000 2.2076 1.7890
Ag 0.0000 0.0000 0.0000
Ag 2.2085 2.2076 0.0000
Li 2.2085 0.0000 1.7890
```

Computed properties:
Crystal system = tetragonal
VASP energy = -0.1856 Ry per atom
E_form = -0.2229 eV/atom



Number 1: N(E_F) 0.384 states/eV per atom. Number 2: N(E_F) 2.245 states/eV per atom. Number 3: N(E_F) 1.139 states/eV per atom. Number 4: N(E_F) 1.620 states/eV per atom. Number 5: N(E_F) 0.948 states/eV per atom. Number 6: N(E_F) 0.995 states/eV per atom. Number 7: N(E_F) 0.304 states/eV per atom. Number 8: N(E_F) 0.388 states/eV per atom.